[1]
{"formula": "MgCd2N", "functional": "GGA-PBEsol", "state": "optimized geometry", "lattice": [[4.5814, 0.0000, 0.0000], [2.2907, 3.9676, 0.0000], [2.2907, 1.3225, 3.7407]], "species": ["Mg", "Cd", "N", "Cd"], "frac_coords": [[0.5000, 0.5000, 0.5000], [0.2500, 0.2500, 0.2500], [0.0000, 0.0000, 0.0000], [0.7500, 0.7500, 0.7500]], "volume_a3_per_cell": 68.0, "formation_energy_uncorrected_ev_per_fu": 3.5, "dos_at_fermi_per_ev_atom": 0.6599}

[2]
{"formula": "MgCdN2", "functional": "GGA-PBEsol", "state": "optimized geometry", "lattice": [[-2.3084, 2.7033, 3.1733], [-2.2972, -3.8518, 1.6101], [6.1076, -0.2459, 1.0747]], "species": ["Mg", "Mg", "N", "Cd", "N", "Cd", "N", "N"], "frac_coords": [[0.5000, 0.5000, 0.0000], [0.7500, 0.2500, 0.5000], [0.8541, 0.3750, 0.2500], [0.2500, 0.7500, 0.5000], [0.6250, 0.6041, 0.7500], [0.0000, 0.0000, 0.0000], [0.1250, 0.1459, 0.7500], [0.3959, 0.8750, 0.2500]], "volume_a3_per_cell": 118.3, "formation_energy_uncorrected_ev_per_fu": 2.2, "dos_at_fermi_per_ev_atom": 0.6467}